DFT (PBE-GGA) results for LaDyEr after structural relaxation.

a = 3.6132 Å, b = 3.6132 Å, c = 15.2013 Å
α = 90.00°, β = 90.00°, γ = 90.00°
Last column: nearest neighbours and their distance in Å.
Space group I4mm (No. 107)
Inequivalent atoms, fractional coordinates:
La  0.0000  0.0000  0.0000 x2  4 La 3.61, 4 Er 3.63, 4 Dy 3.64
Dy  0.0000  0.0000  0.6706 x2  4 Er 3.53, 4 Dy 3.61, 4 La 3.64
Er  0.0000  0.0000  0.3304 x2  4 Dy 3.53, 4 Er 3.61, 4 La 3.63

Properties
Excess energy over the best structure of this formula in the dataset   10.7 meV per atom
Formation enthalpy at 0 K   0.033 eV/atom